Entry 1:
Crystalline SmErBr6 at its relaxed geometry. Source: Alexandria via LeMat-Bulk, functional PBE.

ΔE_f (raw)	-1.82	eV/atom
E above lowest polymorph	0.0172	eV/atom
VASP energy	-4.234	eV per atom
total magnetic moment	0.0	Bohr magnetons per cell

Lattice parameters (Å, degrees): 7.1003 7.1003 19.3650 90.00 90.00 120.00
Space group R-3 (No. 148, hexagonal axes)
One atom of each set of equivalent atoms:
1 Sm 0.0000 0.0000 0.0000 x3
2 Er 0.0000 0.0000 0.5000 x3
3 Br 0.0068 0.3267 0.5821 x18


Entry 2:
Crystalline Sr3CaTb3Se8 at its relaxed geometry. Source: Alexandria via LeMat-Bulk, functional PBE.

ΔE_f (raw)	-1.94	eV/atom
VASP energy	-5.198	eV per atom
total magnetic moment	0.0	Bohr magnetons per cell

Lattice parameters (Å, degrees): 8.3971 8.3971 21.3633 90.00 90.00 120.00
Space group R-3m (No. 166, hexagonal axes)
One atom of each set of equivalent atoms:
1 Sr 0.0000 0.5000 0.0000 x9
2 Ca 0.0000 0.0000 0.5000 x3
3 Tb 0.0000 0.5000 0.5000 x9
4 Se 0.0000 0.0000 0.2437 x6
5 Se 0.0069 0.5035 0.7567 x18


Entry 3:
Crystalline Tb3Ho2Al4 at its relaxed geometry. Source: Alexandria via LeMat-Bulk, functional PBE.

VASP energy	-4.562	eV per atom
calculated formation energy	-0.338	eV per atom
total magnetic moment	0.0	Bohr magnetons per cell

Lattice parameters (Å, degrees): 5.1173 5.1173 9.7223 90.00 90.00 120.00
Space group P-3m1 (No. 164)
One atom of each set of equivalent atoms:
1 Tb 0.0000 0.0000 0.0000 x1
2 Tb 0.3333 0.6667 0.5818 x2
3 Ho 0.3333 0.6667 0.2182 x2
4 Al 0.0000 0.0000 0.3511 x2
5 Al 0.3333 0.6667 0.9013 x2


Entry 4:
Crystalline PaCdCu10 at its relaxed geometry. Source: Alexandria via LeMat-Bulk, functional PBE.

VASP energy	-4.252	eV per atom
calculated formation energy	0.029	eV per atom
total magnetic moment	0.0	Bohr magnetons per cell

Lattice parameters (Å, degrees): 4.110 4.994 8.529 90.00 90.00 90.00
Space group Pmmm (No. 47)
One atom of each set of equivalent atoms:
1 Pa 0.000 0.000 0.000 x1
2 Cd 0.000 0.500 0.500 x1
3 Cu 0.000 0.000 0.341 x2
4 Cu 0.000 0.500 0.177 x2
5 Cu 0.500 0.000 0.500 x1
6 Cu 0.500 0.245 0.246 x4
7 Cu 0.500 0.500 0.000 x1


Entry 5:
Crystalline MnTl2Ni at its relaxed geometry. Source: Alexandria via LeMat-Bulk, functional PBE.

E above lowest polymorph	0.1995	eV/atom
VASP energy	-4.437	eV per atom
calculated formation energy	0.484	eV per atom
total magnetic moment	7.3	Bohr magnetons per cell

Lattice parameters (Å, degrees): 4.070 4.070 9.180 90.00 90.00 90.00
Space group I-4m2 (No. 119)
One atom of each set of equivalent atoms:
1 Mn 0.000 0.000 0.000 x2
2 Tl 0.000 0.000 0.500 x2
3 Tl 0.000 0.500 0.250 x2
4 Ni 0.000 0.500 0.750 x2


Entry 6:
Crystalline Gd3ThFe at its relaxed geometry. Source: Alexandria via LeMat-Bulk, functional PBE.

VASP energy	-11.402	eV per atom
calculated formation energy	0.223	eV per atom
total magnetic moment	22.9	Bohr magnetons per cell

Lattice parameters (Å, degrees): 5.283 5.283 5.283 90.00 90.00 90.00
Space group Pm-3m (No. 221)
One atom of each set of equivalent atoms:
1 Gd 0.000 0.000 0.500 x3
2 Th 0.500 0.500 0.500 x1
3 Fe 0.000 0.000 0.000 x1


Which formula does entry 1 have?
SmErBr6